Entry 1:
# Be2PSe | the Alexandria database | GGA-PBE | optimized geometry
data_Be2PSe
_chemical_formula_sum 'Be2 P1 Se1'
_space_group_name_H-M_alt 'P 1'
_space_group_IT_number 1
_space_group_name_Hall 'P 1'
_cell_length_a 3.664
_cell_length_b 3.664
_cell_length_c 6.474
_cell_angle_alpha 61.27
_cell_angle_beta 61.27
_cell_angle_gamma 56.62
loop_
_atom_site_label
_atom_site_fract_x
_atom_site_fract_y
_atom_site_fract_z
P1 0.570 0.570 0.701
Se1 0.106 0.106 0.186
Be1 0.884 0.884 0.010
Be2 0.941 0.941 0.604
# Total magnetization = 0.00 μB/cell
# ρ = 3.49 Mg/m³
# ΔE_f (raw) = -22.5 kJ/mol of atoms
# Space group = No. 8
# Energy above the most stable polymorph in this dataset = 106 meV/atom
# DOS(E_F) = 0.91 states/eV/f.u.

Entry 2:
# CrIr2Au | the Alexandria database | GGA-PBE | optimized geometry
data_CrIr2Au
_chemical_formula_sum 'Cr1 Ir2 Au1'
_space_group_name_H-M_alt 'P 1'
_space_group_IT_number 1
_space_group_name_Hall 'P 1'
_cell_length_a 9.227
_cell_length_b 9.227
_cell_length_c 9.227
_cell_angle_alpha 17.12
_cell_angle_beta 17.12
_cell_angle_gamma 17.12
loop_
_atom_site_label
_atom_site_fract_x
_atom_site_fract_y
_atom_site_fract_z
Au1 0.250 0.250 0.250
Cr1 0.750 0.750 0.750
Ir1 0.010 0.010 0.010
Ir2 0.490 0.490 0.490
# Total magnetization = 0.00 μB/cell
# ρ = 17.71 Mg/m³
# Space group = No. 166
# Energy above the most stable polymorph in this dataset = 0 meV/atom
# DFT formation energy = 2.3 kJ/mol of atoms
# DOS(E_F) = 4.57 states/eV/f.u.

Entry 3:
# CsAsP3 | the Alexandria database | GGA-PBE | optimized geometry
data_CsAsP3
_chemical_formula_sum 'Cs1 As1 P3'
_space_group_name_H-M_alt 'P 1'
_space_group_IT_number 1
_space_group_name_Hall 'P 1'
_cell_length_a 5.016
_cell_length_b 5.016
_cell_length_c 5.016
_cell_angle_alpha 90.00
_cell_angle_beta 90.00
_cell_angle_gamma 90.00
loop_
_atom_site_label
_atom_site_fract_x
_atom_site_fract_y
_atom_site_fract_z
Cs1 0.500 0.500 0.500
P1 0.000 0.500 0.000
P2 0.000 0.000 0.500
P3 0.500 0.000 0.000
As1 0.000 0.000 0.000
# Total magnetization = 0.00 μB/cell
# ρ = 3.96 Mg/m³
# Space group = No. 221
# Energy above the most stable polymorph in this dataset = 0 meV/atom
# DFT formation energy = 65.6 kJ/mol of atoms
# DOS(E_F) = 5.94 states/eV/f.u.

Entry 4:
# Tm2Si3Pt5 | the Alexandria database | GGA-PBE | optimized geometry
data_Tm2Si3Pt5
_chemical_formula_sum 'Tm4 Si6 Pt10'
_space_group_name_H-M_alt 'P 1'
_space_group_IT_number 1
_space_group_name_Hall 'P 1'
_cell_length_a 4.253
_cell_length_b 6.791
_cell_length_c 11.835
_cell_angle_alpha 90.00
_cell_angle_beta 100.35
_cell_angle_gamma 90.00
loop_
_atom_site_label
_atom_site_fract_x
_atom_site_fract_y
_atom_site_fract_z
Tm1 0.479 0.762 0.959
Tm2 0.174 0.742 0.348
Tm3 0.826 0.242 0.652
Tm4 0.521 0.262 0.041
Si1 0.773 0.674 0.546
Si2 0.601 0.590 0.203
Si3 0.053 0.956 0.106
Si4 0.227 0.174 0.454
Si5 0.947 0.456 0.894
Si6 0.399 0.090 0.797
Pt1 0.393 0.455 0.786
Pt2 0.273 0.488 0.545
Pt3 0.727 0.988 0.455
Pt4 0.123 0.231 0.247
Pt5 0.309 0.903 0.618
Pt6 0.951 0.063 0.901
Pt7 0.691 0.403 0.382
Pt8 0.877 0.731 0.753
Pt9 0.049 0.563 0.099
Pt10 0.607 0.955 0.214
# Total magnetization = 0.00 μB/cell
# ρ = 13.80 Mg/m³
# ΔE_f (raw) = -100.1 kJ/mol of atoms
# Space group = No. 36
# DOS(E_F) = 3.86 states/eV/f.u.

Entry 5:
# MnIrOs | the Alexandria database | GGA-PBE | optimized geometry
data_MnIrOs
_chemical_formula_sum 'Mn1 Ir1 Os1'
_space_group_name_H-M_alt 'P 1'
_space_group_IT_number 1
_space_group_name_Hall 'P 1'
_cell_length_a 4.008
_cell_length_b 4.008
_cell_length_c 4.008
_cell_angle_alpha 60.00
_cell_angle_beta 60.00
_cell_angle_gamma 60.00
loop_
_atom_site_label
_atom_site_fract_x
_atom_site_fract_y
_atom_site_fract_z
Ir1 0.500 0.500 0.500
Mn1 0.750 0.750 0.750
Os1 0.000 0.000 0.000
# Total magnetization = 0.56 μB/cell
# ρ = 15.95 Mg/m³
# Space group = No. 216
# Energy above the most stable polymorph in this dataset = 453 meV/atom
# DFT formation energy = 42.8 kJ/mol of atoms
# DOS(E_F) = 4.51 states/eV/f.u.

Entry 6:
# TlHg2BiAs | the Alexandria database | GGA-PBE | optimized geometry
data_TlHg2BiAs
_chemical_formula_sum 'Tl1 Hg2 Bi1 As1'
_space_group_name_H-M_alt 'P 1'
_space_group_IT_number 1
_space_group_name_Hall 'P 1'
_cell_length_a 5.755
_cell_length_b 6.256
_cell_length_c 5.755
_cell_angle_alpha 90.00
_cell_angle_beta 90.00
_cell_angle_gamma 90.00
loop_
_atom_site_label
_atom_site_fract_x
_atom_site_fract_y
_atom_site_fract_z
As1 0.500 0.500 0.500
Tl1 0.000 0.500 0.000
Bi1 0.000 0.000 0.000
Hg1 0.000 0.000 0.500
Hg2 0.500 0.000 0.000
# Total magnetization = 1.88 μB/cell
# ρ = 7.13 Mg/m³
# Space group = No. 123
# DFT formation energy = 60.4 kJ/mol of atoms
# DOS(E_F) = 3.47 states/eV/f.u.

Entry 7:
# Tb2BeZn3Cu12 | the Alexandria database | GGA-PBE | optimized geometry
data_Tb2BeZn3Cu12
_chemical_formula_sum 'Tb2 Be1 Zn3 Cu12'
_space_group_name_H-M_alt 'P 1'
_space_group_IT_number 1
_space_group_name_Hall 'P 1'
_cell_length_a 9.133
_cell_length_b 9.133
_cell_length_c 9.133
_cell_angle_alpha 40.03
_cell_angle_beta 40.03
_cell_angle_gamma 40.03
loop_
_atom_site_label
_atom_site_fract_x
_atom_site_fract_y
_atom_site_fract_z
Tb1 0.653 0.653 0.653
Tb2 0.347 0.347 0.347
Be1 0.000 0.000 0.000
Zn1 0.500 0.000 0.000
Zn2 0.000 0.500 0.000
Zn3 0.000 0.000 0.500
Cu1 0.422 0.422 0.810
Cu2 0.928 0.928 0.342
Cu3 0.342 0.928 0.928
Cu4 0.810 0.422 0.422
Cu5 0.928 0.342 0.928
Cu6 0.422 0.810 0.422
Cu7 0.578 0.578 0.190
Cu8 0.072 0.072 0.658
Cu9 0.658 0.072 0.072
Cu10 0.190 0.578 0.578
Cu11 0.072 0.658 0.072
Cu12 0.578 0.190 0.578
# Total magnetization = 0.00 μB/cell
# ρ = 7.52 Mg/m³
# Space group = No. 166
# DFT formation energy = 11.0 kJ/mol of atoms
# DOS(E_F) = 5.38 states/eV/f.u.

Entry 8:
# VSiNi | the Alexandria database | GGA-PBE | optimized geometry
data_VSiNi
_chemical_formula_sum 'V6 Si6 Ni6'
_space_group_name_H-M_alt 'P 1'
_space_group_IT_number 1
_space_group_name_Hall 'P 1'
_cell_length_a 5.969
_cell_length_b 7.179
_cell_length_c 6.964
_cell_angle_alpha 121.03
_cell_angle_beta 115.37
_cell_angle_gamma 90.00
loop_
_atom_site_label
_atom_site_fract_x
_atom_site_fract_y
_atom_site_fract_z
V1 0.753 0.040 0.581
V2 0.173 0.960 0.419
V3 0.334 0.750 0.000
V4 0.334 0.250 0.000
V5 0.173 0.460 0.419
V6 0.753 0.540 0.581
Si1 0.753 0.250 0.000
Si2 0.753 0.750 0.000
Si3 0.420 0.167 0.333
Si4 0.087 0.833 0.667
Si5 0.087 0.333 0.667
Si6 0.420 0.667 0.333
Ni1 0.003 0.000 0.000
Ni2 0.003 0.500 0.000
Ni3 0.504 0.375 0.750
Ni4 0.754 0.625 0.250
Ni5 0.754 0.125 0.250
Ni6 0.504 0.875 0.750
# Total magnetization = 4.20 μB/cell
# ρ = 6.20 Mg/m³
# ΔE_f (raw) = -53.3 kJ/mol of atoms
# Space group = No. 189
# DOS(E_F) = 2.86 states/eV/f.u.